No. 1
A plane-wave DFT calculation with PBE was carried out for a geometry-optimized TiAlPt structure.

a b c (Å): 4.447 4.447 5.400
angles (deg): 90.00 90.00 120.00
Atoms (fractional coordinates):
Al 0.333 0.667 0.250
Al 0.667 0.333 0.750
Pt 0.667 0.333 0.250
Pt 0.333 0.667 0.750
Ti 0.000 0.000 0.000
Ti 0.000 0.000 0.500



No. 2
A plane-wave DFT calculation with PBE was carried out for a geometry-optimized Ti4AlPt2 structure.

a b c (Å): 4.231 4.231 8.840
angles (deg): 76.15 76.15 60.00
Atoms (fractional coordinates):
Ti 0.381 0.381 0.857
Ti 0.203 0.203 0.390
Ti 0.797 0.797 0.610
Ti 0.619 0.619 0.143
Al 0.000 0.000 0.000
Pt 0.101 0.101 0.697
Pt 0.899 0.899 0.303



No. 3
A plane-wave DFT calculation with PBE was carried out for a geometry-optimized TiAl2Pt structure.

a b c (Å): 7.146 7.146 5.731
angles (deg): 51.43 51.43 90.00
Atoms (fractional coordinates):
Al 0.657 0.125 0.250
Al 0.093 0.625 0.250
Al 0.375 0.343 0.750
Al 0.875 0.907 0.750
Pt 0.000 0.000 0.000
Pt 0.750 0.250 0.500
Ti 0.500 0.500 0.000
Ti 0.250 0.750 0.500



No. 4
A plane-wave DFT calculation with PBE was carried out for a geometry-optimized Ti3AlPt structure.

a b c (Å): 4.590 4.590 4.590
angles (deg): 90.00 90.00 90.00
Atoms (fractional coordinates):
Al 0.000 0.000 0.000
Pt 0.500 0.500 0.500
Ti 0.000 0.500 0.000
Ti 0.000 0.000 0.500
Ti 0.500 0.000 0.000



No. 5
A plane-wave DFT calculation with PBE was carried out for a geometry-optimized TiAlPt structure.

a b c (Å): 3.017 5.549 3.017
angles (deg): 74.23 90.00 105.77
Atoms (fractional coordinates):
Pt 0.044 0.088 0.956
Ti 0.715 0.429 0.285
Al 0.391 0.782 0.609



No. 6
A plane-wave DFT calculation with PBE was carried out for a geometry-optimized Ti5AlPt4 structure.

a b c (Å): 3.509 9.151 10.424
angles (deg): 90.00 90.00 90.00
Atoms (fractional coordinates):
Ti 0.204 0.675 0.841
Ti 0.204 0.325 0.841
Ti 0.669 0.500 0.000
Ti 0.204 0.675 0.159
Ti 0.204 0.325 0.159
Ti 0.796 0.825 0.341
Ti 0.796 0.175 0.341
Ti 0.331 0.000 0.500
Ti 0.796 0.175 0.659
Ti 0.796 0.825 0.659
Al 0.180 0.000 0.000
Al 0.820 0.500 0.500
Pt 0.305 0.000 0.770
Pt 0.698 0.800 0.000
Pt 0.698 0.200 0.000
Pt 0.305 0.000 0.230
Pt 0.695 0.500 0.270
Pt 0.302 0.700 0.500
Pt 0.302 0.300 0.500
Pt 0.695 0.500 0.730



No. 7
A plane-wave DFT calculation with PBE was carried out for a geometry-optimized Ti2Al2Pt5 structure.

a b c (Å): 6.718 6.394 7.537
angles (deg): 115.10 90.00 90.00
Atoms (fractional coordinates):
Ti 0.000 0.206 0.412
Ti 0.500 0.706 0.412
Ti 0.000 0.794 0.588
Ti 0.500 0.294 0.588
Al 0.646 0.858 0.000
Al 0.354 0.142 0.000
Al 0.146 0.642 0.000
Al 0.854 0.358 0.000
Pt 0.000 0.000 0.000
Pt 0.500 0.500 0.000
Pt 0.844 0.787 0.270
Pt 0.156 0.483 0.270
Pt 0.344 0.983 0.270
Pt 0.656 0.287 0.270
Pt 0.156 0.213 0.730
Pt 0.844 0.517 0.730
Pt 0.656 0.017 0.730
Pt 0.344 0.713 0.730



No. 8
A plane-wave DFT calculation with PBE was carried out for a geometry-optimized TiAlTl2Pt structure.

a b c (Å): 5.246 5.016 5.246
angles (deg): 90.00 90.00 90.00
Each line ends with the local moment (μB).
Atoms (fractional coordinates):
Tl 0.000 0.000 0.500  -0.01
Tl 0.500 0.000 0.000  0.00
Al 0.500 0.500 0.500  0.01
Pt 0.000 0.000 0.000  0.01
Ti 0.000 0.500 0.000  1.29



| no. | VASP energy (eV/f.u.) | ρ (Mg/m³) |
| --- | --- | --- |
| 1 | -20.493 | 9.7 |
| 2 | -49.797 | 7.7 |
| 3 | -22.970 | 7.1 |
| 4 | -29.927 | 6.3 |
| 5 | -20.015 | 9.6 |
| 6 | -73.961 | 10.4 |
| 7 | -59.894 | 12.7 |
| 8 | -20.049 | 8.2 |